# Pr3Sm2Er2 PBE relaxed
# formation enthalpy at 0 K = 0.12 eV/f.u.
# SG = No. 12
# energy relative to the lowest polymorph listed for this composition = 0 meV per atom
data_Pr3Sm2Er2
_chemical_formula_sum 'Pr3 Sm2 Er2'
_symmetry_space_group_name_H-M 'P 1'
_symmetry_Int_Tables_number 1
_cell_length_a 6.287
_cell_length_b 6.287
_cell_length_c 10.876
_cell_angle_alpha 95.70
_cell_angle_beta 95.70
_cell_angle_gamma 33.62
loop_
_symmetry_equiv_pos_as_xyz
'x,y,z'
loop_
_atom_site_label
_atom_site_fract_x
_atom_site_fract_y
_atom_site_fract_z
Pr1 0.000 0.000 0.000
Pr2 0.142 0.142 0.571
Pr3 0.858 0.858 0.429
Sm1 0.284 0.284 0.143
Sm2 0.716 0.716 0.857
Er1 0.428 0.428 0.715
Er2 0.572 0.572 0.285

# AsS3N PBE relaxed
# ΔE_f (raw) = 1168 meV/atom
# SG = No. 221
# energy relative to the lowest polymorph listed for this composition = 0 meV per atom
data_AsS3N
_chemical_formula_sum 'As1 S3 N1'
_symmetry_space_group_name_H-M 'P 1'
_symmetry_Int_Tables_number 1
_cell_length_a 4.171
_cell_length_b 4.171
_cell_length_c 4.171
_cell_angle_alpha 90.00
_cell_angle_beta 90.00
_cell_angle_gamma 90.00
loop_
_symmetry_equiv_pos_as_xyz
'x,y,z'
loop_
_atom_site_label
_atom_site_fract_x
_atom_site_fract_y
_atom_site_fract_z
As1 0.000 0.000 0.000
S1 0.000 0.500 0.500
S2 0.500 0.000 0.500
S3 0.500 0.500 0.000
N1 0.500 0.500 0.500

# Be2PCl PBE relaxed
# ΔE_f (raw) = -238 meV/atom
# SG = No. 12
# energy relative to the lowest polymorph listed for this composition = 280 meV per atom
data_Be2PCl
_chemical_formula_sum 'Be2 P1 Cl1'
_symmetry_space_group_name_H-M 'P 1'
_symmetry_Int_Tables_number 1
_cell_length_a 3.490
_cell_length_b 3.490
_cell_length_c 6.367
_cell_angle_alpha 113.70
_cell_angle_beta 113.70
_cell_angle_gamma 56.19
loop_
_symmetry_equiv_pos_as_xyz
'x,y,z'
loop_
_atom_site_label
_atom_site_fract_x
_atom_site_fract_y
_atom_site_fract_z
Be1 0.234 0.234 0.325
Be2 0.766 0.766 0.675
P1 0.000 0.000 0.500
Cl1 0.500 0.500 0.000

# NbB3Rh PBE relaxed
# formation enthalpy at 0 K = 5.17 eV/f.u.
# SG = No. 221
# energy relative to the lowest polymorph listed for this composition = 0 meV per atom
data_NbB3Rh
_chemical_formula_sum 'Nb1 B3 Rh1'
_symmetry_space_group_name_H-M 'P 1'
_symmetry_Int_Tables_number 1
_cell_length_a 3.959
_cell_length_b 3.959
_cell_length_c 3.959
_cell_angle_alpha 90.00
_cell_angle_beta 90.00
_cell_angle_gamma 90.00
loop_
_symmetry_equiv_pos_as_xyz
'x,y,z'
loop_
_atom_site_label
_atom_site_fract_x
_atom_site_fract_y
_atom_site_fract_z
Nb1 0.000 0.000 0.000
B1 0.000 0.500 0.500
B2 0.500 0.000 0.500
B3 0.500 0.500 0.000
Rh1 0.500 0.500 0.500

# HfSc2Al2 PBE relaxed
# formation enthalpy at 0 K = -0.50 eV/f.u.
# SG = No. 164
# energy relative to the lowest polymorph listed for this composition = 186 meV per atom
data_HfSc2Al2
_chemical_formula_sum 'Hf1 Sc2 Al2'
_symmetry_space_group_name_H-M 'P 1'
_symmetry_Int_Tables_number 1
_cell_length_a 4.639
_cell_length_b 4.639
_cell_length_c 5.916
_cell_angle_alpha 90.00
_cell_angle_beta 90.00
_cell_angle_gamma 120.00
loop_
_symmetry_equiv_pos_as_xyz
'x,y,z'
loop_
_atom_site_label
_atom_site_fract_x
_atom_site_fract_y
_atom_site_fract_z
Hf1 0.000 0.000 0.000
Sc1 0.333 0.667 0.654
Sc2 0.667 0.333 0.346
Al1 0.333 0.667 0.159
Al2 0.667 0.333 0.841

# NaAu2O3 PBE relaxed
# ΔE_f (raw) = -318 meV/atom
# SG = No. 9
data_NaAu2O3
_chemical_formula_sum 'Na2 Au4 O6'
_symmetry_space_group_name_H-M 'P 1'
_symmetry_Int_Tables_number 1
_cell_length_a 6.234
_cell_length_b 6.234
_cell_length_c 6.089
_cell_angle_alpha 107.60
_cell_angle_beta 107.60
_cell_angle_gamma 72.11
loop_
_symmetry_equiv_pos_as_xyz
'x,y,z'
loop_
_atom_site_label
_atom_site_fract_x
_atom_site_fract_y
_atom_site_fract_z
Na1 0.122 0.878 0.500
Na2 0.878 0.122 0.000
Au1 0.314 0.325 0.719
Au2 0.325 0.314 0.219
Au3 0.670 0.691 0.283
Au4 0.691 0.670 0.783
O1 0.143 0.207 0.386
O2 0.207 0.143 0.886
O3 0.481 0.595 0.447
O4 0.595 0.481 0.947
O5 0.786 0.859 0.623
O6 0.859 0.786 0.123

# ScCd2Cu PBE relaxed
# formation enthalpy at 0 K = -0.68 eV/f.u.
# SG = No. 119
data_ScCd2Cu
_chemical_formula_sum 'Sc1 Cd2 Cu1'
_symmetry_space_group_name_H-M 'P 1'
_symmetry_Int_Tables_number 1
_cell_length_a 4.752
_cell_length_b 4.752
_cell_length_c 4.752
_cell_angle_alpha 120.26
_cell_angle_beta 120.26
_cell_angle_gamma 89.54
loop_
_symmetry_equiv_pos_as_xyz
'x,y,z'
loop_
_atom_site_label
_atom_site_fract_x
_atom_site_fract_y
_atom_site_fract_z
Sc1 0.000 0.000 0.000
Cd1 0.250 0.750 0.500
Cd2 0.500 0.500 0.000
Cu1 0.750 0.250 0.500

# CoTcAg2 PBE relaxed
# formation enthalpy at 0 K = 1.05 eV/f.u.
# SG = No. 99
# energy relative to the lowest polymorph listed for this composition = 0 meV per atom
data_CoTcAg2
_chemical_formula_sum 'Co1 Tc1 Ag2'
_symmetry_space_group_name_H-M 'P 1'
_symmetry_Int_Tables_number 1
_cell_length_a 2.758
_cell_length_b 2.758
_cell_length_c 7.997
_cell_angle_alpha 90.00
_cell_angle_beta 90.00
_cell_angle_gamma 90.00
loop_
_symmetry_equiv_pos_as_xyz
'x,y,z'
loop_
_atom_site_label
_atom_site_fract_x
_atom_site_fract_y
_atom_site_fract_z
Co1 0.000 0.000 0.000
Tc1 0.500 0.500 0.188
Ag1 0.000 0.000 0.467
Ag2 0.500 0.500 0.749

no.,electronic total energy (eV per atom),total magnetic moment (μB/f.u.)
1,-4.683,0.000
2,-3.904,0.000
3,-3.916,0.000
4,-6.457,0.000
5,-6.120,0.000
6,-4.109,0.000
7,-3.233,0.000
8,-5.530,0.970